one:
DFT (PBE) results for an optimized crystal structure of Tc2BiCl.

Output
DOS at the Fermi energy = 5.109 states/eV/cell
Size of the total moment = 0.80 μB/cell
Space-group type = Fm-3m

a b c (Å): 4.6408 4.6408 4.6408
angles (deg): 60.00 60.00 60.00
Site moments in Bohr magnetons follow the coordinates.
Positions (direct):
Cl: 0.0000 0.0000 0.0000  0.01
Tc: 0.2500 0.2500 0.2500  0.37
Tc: 0.7500 0.7500 0.7500  0.37
Bi: 0.5000 0.5000 0.5000  -0.03


two:
DFT (PBE) results for an optimized crystal structure of Tc2BiCl.

Output
DOS at the Fermi energy = 6.808 states/eV/cell
Size of the total moment = 0.00 μB/cell
Space-group type = I-42d

a b c (Å): 5.9395 5.9395 6.6367
angles (deg): 63.42 63.42 90.00
Positions (direct):
Bi: 0.7500 0.2500 0.5000
Bi: 0.0000 0.0000 0.0000
Tc: 0.1920 0.6250 0.2500
Tc: 0.5580 0.1250 0.2500
Tc: 0.8750 0.8080 0.7500
Tc: 0.3750 0.4420 0.7500
Cl: 0.2500 0.7500 0.5000
Cl: 0.5000 0.5000 0.0000


Most stable structure: one